1.
BeOsPd3 | PBEsol | relaxed

a = 4.0998 Å, b = 4.0998 Å, c = 4.0998 Å
α = 90.00°, β = 90.00°, γ = 90.00°
Atoms (fractional coordinates):
Be: 0.0000 0.0000 0.0000
Os: 0.5000 0.5000 0.5000
Pd: 0.0000 0.0000 0.5000
Pd: 0.0000 0.5000 0.0000
Pd: 0.5000 0.0000 0.0000

Results
- ΔE_f: 602.9 meV/atom
- Energy: -6.216 eV per atom

2.
Ta3MnPt | PBEsol | relaxed

a = 4.8249 Å, b = 4.8249 Å, c = 4.8249 Å
α = 90.00°, β = 90.00°, γ = 90.00°
Atoms (fractional coordinates):
Ta: 0.0000 0.0000 0.5000
Ta: 0.0000 0.5000 0.0000
Ta: 0.5000 0.0000 0.0000
Mn: 0.5000 0.5000 0.5000
Pt: 0.0000 0.0000 0.0000

Results
- ΔE_f: 1501.9 meV/atom
- Energy: -9.374 eV per atom

3.
CuIrOs | PBEsol | relaxed

a = 4.1853 Å, b = 4.1853 Å, c = 2.6339 Å
α = 90.00°, β = 90.00°, γ = 120.00°
Atoms (fractional coordinates):
Cu: 0.0000 0.0000 0.0000
Ir: 0.3333 0.6667 0.0142
Os: 0.6667 0.3333 0.5144

Results
- ΔE_f: 347.3 meV/atom
- Energy: -8.444 eV per atom
- Distance to the lowest polymorph of the same formula: 0.167 eV/atom

4.
YTcNi | PBEsol | relaxed

a = 4.2851 Å, b = 4.2851 Å, c = 4.2851 Å
α = 60.00°, β = 60.00°, γ = 60.00°
Atoms (fractional coordinates):
Y: 0.0000 0.0000 0.0000
Tc: 0.7500 0.7500 0.7500
Ni: 0.5000 0.5000 0.5000

Results
- ΔE_f: 712.2 meV/atom
- Energy: -7.370 eV per atom